1.
A plane-wave DFT calculation with PBE-GGA was carried out for a geometry-optimized CePr2SmS4 structure.

Lattice parameters (Å, degrees): 4.048 7.042 7.042 109.32 90.00 90.00
Each line ends with the local moment (μB).
Element x y z (fractional)
Ce (0.500, 0.500, 0.000)  0.60
Pr (0.500, 0.000, 0.500)  0.00
Pr (0.000, 0.500, 0.500)  0.01
Sm (0.000, 0.000, 0.000)  0.01
S (0.500, 0.247, 0.242)  0.00
S (0.500, 0.753, 0.758)  0.00
S (0.000, 0.252, 0.758)  -0.01
S (0.000, 0.748, 0.242)  -0.01

Properties
calculated volume = 23.7 Å³ per atom
magnetic moment = 0.75 μB/f.u.
uncorrected formation energy = -2.03 eV/atom
VASP energy = -52.98 eV per cell


2.
A plane-wave DFT calculation with PBE-GGA was carried out for a geometry-optimized Y4Ho3Ag structure.

Lattice parameters (Å, degrees): 3.552 3.552 18.985 90.00 90.00 90.00
Element x y z (fractional)
Y (0.000, 0.000, 0.899)
Y (0.000, 0.000, 0.101)
Y (0.000, 0.000, 0.367)
Y (0.000, 0.000, 0.633)
Ho (0.500, 0.500, 0.236)
Ho (0.500, 0.500, 0.500)
Ho (0.500, 0.500, 0.764)
Ag (0.500, 0.500, 0.000)

Properties
calculated volume = 29.9 Å³ per atom
formation energy from the elements = -53 meV per atom
magnetic moment = 0.00 μB/f.u.
VASP energy = -42.87 eV per cell


3.
A plane-wave DFT calculation with PBE-GGA was carried out for a geometry-optimized TlGaTeN2 structure.

Lattice parameters (Å, degrees): 4.189 4.189 5.792 90.00 90.00 90.00
Each line ends with the local moment (μB).
Element x y z (fractional)
Tl (0.500, 0.500, 0.500)  -0.03
Te (0.000, 0.000, 0.500)  0.11
Ga (0.000, 0.000, 0.000)  -0.05
N (0.000, 0.500, 0.000)  1.01
N (0.500, 0.000, 0.000)  1.01

Properties
calculated volume = 20.3 Å³ per atom
magnetic moment = 2.99 μB/f.u.
uncorrected formation energy = 1.19 eV/atom
ΔE to the lowest computed polymorph = 0 meV per atom
VASP energy = -19.25 eV per cell


4.
A plane-wave DFT calculation with PBE-GGA was carried out for a geometry-optimized LiNpTcO6 structure.

Lattice parameters (Å, degrees): 5.381 5.381 9.343 90.00 90.00 120.00
Each line ends with the local moment (μB).
Element x y z (fractional)
Li (0.000, 0.000, 0.000)  0.00
Li (0.000, 0.000, 0.500)  0.00
Np (0.333, 0.667, 0.250)  1.55
Np (0.667, 0.333, 0.750)  1.55
Tc (0.667, 0.333, 0.250)  1.33
Tc (0.333, 0.667, 0.750)  1.33
O (0.650, 0.636, 0.138)  0.00
O (0.985, 0.350, 0.138)  0.00
O (0.350, 0.985, 0.638)  0.00
O (0.015, 0.650, 0.862)  0.00
O (0.364, 0.350, 0.362)  0.00
O (0.985, 0.636, 0.362)  0.00
O (0.636, 0.985, 0.862)  0.00
O (0.650, 0.015, 0.362)  0.00
O (0.015, 0.364, 0.638)  0.00
O (0.364, 0.015, 0.138)  0.00
O (0.636, 0.650, 0.638)  0.00
O (0.350, 0.364, 0.862)  0.00

Properties
calculated volume = 13.0 Å³ per atom
magnetic moment = 3.01 μB/f.u.
uncorrected formation energy = -2.03 eV/atom
VASP energy = -146.56 eV per cell


5.
A plane-wave DFT calculation with PBE-GGA was carried out for a geometry-optimized Ca2WAu structure.

Lattice parameters (Å, degrees): 8.165 8.165 6.511 51.17 51.17 90.00
Each line ends with the local moment (μB).
Element x y z (fractional)
Ca (0.651, 0.125, 0.250)  0.03
Ca (0.099, 0.625, 0.250)  0.03
Ca (0.375, 0.349, 0.750)  0.02
Ca (0.875, 0.901, 0.750)  0.02
Au (0.000, 0.000, 0.000)  0.05
Au (0.750, 0.250, 0.500)  0.06
W (0.500, 0.500, 0.000)  2.14
W (0.250, 0.750, 0.500)  2.13

Properties
calculated volume = 25.1 Å³ per atom
formation energy from the elements = 793 meV per atom
magnetic moment = 2.97 μB/f.u.
ΔE to the lowest computed polymorph = 495 meV per atom
VASP energy = -34.13 eV per cell


6.
A plane-wave DFT calculation with PBE-GGA was carried out for a geometry-optimized Tb5PrTm5 structure.

Lattice parameters (Å, degrees): 6.020 6.020 11.681 90.00 90.00 120.00
Element x y z (fractional)
Tb (0.667, 0.333, 0.156)
Tb (0.667, 0.333, 0.844)
Tb (0.333, 0.667, 0.323)
Tb (0.333, 0.667, 0.677)
Tb (0.000, 0.000, 0.000)
Pr (0.333, 0.667, 0.000)
Tm (0.333, 0.167, 0.500)
Tm (0.000, 0.000, 0.266)
Tm (0.833, 0.667, 0.500)
Tm (0.833, 0.167, 0.500)
Tm (0.000, 0.000, 0.734)

Properties
calculated volume = 33.3 Å³ per atom
formation energy from the elements = 311 meV per atom
magnetic moment = 0.01 μB/f.u.
VASP energy = -46.87 eV per cell